Ac2NiGe3Pd4 | PBE-GGA | optimized geometry

Cell: 4.4460 4.4460 10.2678 Å, 90.00 90.00 90.00°
With the nearest neighbours (Å) after each atom.
Fractional coordinates of all 10 atoms:
Ac (0.5000, 0.0000, 0.2602)  6 Ge 3.32-3.44, 2 Ni 3.32, 8 Pd 3.35-3.48
Ac (0.0000, 0.5000, 0.7398)  2 Ni 3.32, 6 Ge 3.32-3.44, 8 Pd 3.35-3.48
Ni (0.5000, 0.5000, 0.5000)  4 Pd 2.58
Ge (0.0000, 0.0000, 0.5000)  4 Pd 2.58
Ge (0.5000, 0.0000, 0.8755)  5 Pd 2.54-2.56
Ge (0.0000, 0.5000, 0.1245)  5 Pd 2.54-2.56
Pd (0.5000, 0.5000, 0.0000)  4 Ge 2.56
Pd (0.0000, 0.0000, 0.0000)  4 Ge 2.56
Pd (0.5000, 0.0000, 0.6278)  3 Ge 2.54-2.58, 2 Ni 2.58
Pd (0.0000, 0.5000, 0.3722)  3 Ge 2.54-2.58, 2 Ni 2.58

Calculated values
formation energy from the elements: -0.72 eV/atom
theoretical density: 9.46 Mg/m³
space group: P-4m2, No. 115
volume: 20.3 Å³ per atom

DyCuNiAu | PBE-GGA | optimized geometry

Cell: 4.5661 4.5661 4.5661 Å, 60.00 60.00 60.00°
With the nearest neighbours (Å) after each atom.
Fractional coordinates of all 4 atoms:
Ni (0.7500, 0.7500, 0.7500)  4 Dy 2.80, 4 Au 2.80
Au (0.5000, 0.5000, 0.5000)  4 Ni 2.80, 4 Cu 2.80
Cu (0.2500, 0.2500, 0.2500)  4 Au 2.80, 4 Dy 2.80
Dy (0.0000, 0.0000, 0.0000)  4 Ni 2.80, 4 Cu 2.80

Calculated values
formation energy from the elements: -0.34 eV/atom
theoretical density: 11.88 Mg/m³
space group: F-43m, No. 216
volume: 16.8 Å³ per atom

Cs2SnSeF6 | PBE-GGA | optimized geometry

Cell: 6.8009 6.8009 7.1482 Å, 61.59 61.59 90.00°
With the nearest neighbours (Å) after each atom.
Fractional coordinates of all 10 atoms:
Cs (0.7500, 0.2500, 0.5000)  12 F 3.46-3.60
Cs (0.2500, 0.7500, 0.5000)  12 F 3.46-3.60
Sn (0.0000, 0.0000, 0.0000)  6 F 2.00-2.01
Se (0.5000, 0.5000, 0.0000)  4 F 2.80
F (0.1894, 0.1894, 0.6212)  1 Sn 2.00
F (0.8106, 0.8106, 0.3788)  1 Sn 2.00
F (0.2090, 0.2090, 0.0000)  1 Sn 2.01
F (0.7910, 0.7910, 0.0000)  1 Sn 2.01
F (0.7910, 0.2090, 0.0000)  1 Sn 2.01
F (0.2090, 0.7910, 0.0000)  1 Sn 2.01

Calculated values
raw formation energy: -2.2066 eV/atom
theoretical density: 3.92 Mg/m³
space group: I4/mmm, No. 139
volume: 24.5 Å³ per atom

Rb2LiAgSe2 | PBE-GGA | optimized geometry

Cell: 6.5612 6.5546 9.1235 Å, 111.05 111.07 90.00°
With the nearest neighbours (Å) after each atom.
Fractional coordinates of all 12 atoms:
Rb (0.4292, 0.1697, 0.3394)  5 Se 3.45-3.69, 2 Ag 3.51, 2 Li 3.56
Rb (0.5708, 0.8303, 0.6606)  5 Se 3.45-3.69, 2 Ag 3.51, 2 Li 3.56
Rb (0.0898, 0.3303, 0.6606)  5 Se 3.45-3.69, 2 Ag 3.51, 2 Li 3.56
Rb (0.9102, 0.6697, 0.3394)  5 Se 3.45-3.69, 2 Ag 3.51, 2 Li 3.56
Li (0.0000, 0.7500, 0.0000)  4 Se 2.71
Li (0.0000, 0.2500, 0.0000)  4 Se 2.71
Ag (0.5000, 0.7500, 0.0000)  4 Se 2.82
Ag (0.5000, 0.2500, 0.0000)  4 Se 2.82
Se (0.8600, 0.0958, 0.1916)  2 Li 2.71, 2 Ag 2.82
Se (0.3315, 0.5958, 0.1916)  2 Li 2.71, 2 Ag 2.82
Se (0.6685, 0.4042, 0.8084)  2 Li 2.71, 2 Ag 2.82
Se (0.1400, 0.9042, 0.8084)  2 Li 2.71, 2 Ag 2.82

Calculated values
raw formation energy: -0.9153 eV/atom
theoretical density: 4.36 Mg/m³
space group: Ibam, No. 72
volume: 28.2 Å³ per atom

Al6Cu12Ag | PBE-GGA | optimized geometry

Cell: 6.8113 6.8113 6.8113 Å, 67.54 67.54 67.54°
With the nearest neighbours (Å) after each atom.
Fractional coordinates of all 19 atoms:
Al (0.2602, 0.8757, 0.2602)  7 Cu 2.47-2.66, 1 Ag 2.67
Al (0.1243, 0.7398, 0.7398)  7 Cu 2.47-2.66, 1 Ag 2.67
Al (0.7398, 0.7398, 0.1243)  7 Cu 2.47-2.66, 1 Ag 2.67
Al (0.7398, 0.1243, 0.7398)  7 Cu 2.47-2.66, 1 Ag 2.67
Al (0.8757, 0.2602, 0.2602)  7 Cu 2.47-2.66, 1 Ag 2.67
Al (0.2602, 0.2602, 0.8757)  7 Cu 2.47-2.66, 1 Ag 2.67
Cu (0.5087, 0.1800, 0.5087)  3 Al 2.47-2.55, 7 Cu 2.49-2.57
Cu (0.1800, 0.5087, 0.5087)  3 Al 2.47-2.55, 7 Cu 2.49-2.57
Cu (0.5087, 0.5087, 0.1800)  3 Al 2.47-2.55, 7 Cu 2.49-2.57
Cu (0.4913, 0.8200, 0.4913)  3 Al 2.47-2.55, 7 Cu 2.49-2.57
Cu (0.8200, 0.4913, 0.4913)  3 Al 2.47-2.55, 7 Cu 2.49-2.57
Cu (0.4913, 0.4913, 0.8200)  3 Al 2.47-2.55, 7 Cu 2.49-2.57
Cu (0.5046, 0.1470, 0.1470)  6 Cu 2.54-2.71, 4 Al 2.65-2.66
Cu (0.8530, 0.4954, 0.8530)  6 Cu 2.54-2.71, 4 Al 2.65-2.66
Cu (0.8530, 0.8530, 0.4954)  6 Cu 2.54-2.71, 4 Al 2.65-2.66
Cu (0.4954, 0.8530, 0.8530)  6 Cu 2.54-2.71, 4 Al 2.65-2.66
Cu (0.1470, 0.5046, 0.1470)  6 Cu 2.54-2.71, 4 Al 2.65-2.66
Cu (0.1470, 0.1470, 0.5046)  6 Cu 2.54-2.71, 4 Al 2.65-2.66
Ag (0.0000, 0.0000, 0.0000)  6 Al 2.67

Calculated values
formation energy from the elements: -0.07 eV/atom
relative energy among the computed polymorphs: 0 meV/atom
theoretical density: 6.61 Mg/m³
space group: R-3m, No. 166
volume: 13.7 Å³ per atom

Hf2SiNiPb | PBE-GGA | optimized geometry

Cell: 4.8926 5.0836 4.8926 Å, 90.00 90.00 90.00°
With the nearest neighbours (Å) after each atom.
Fractional coordinates of all 5 atoms:
Pb (0.0000, 0.5000, 0.0000)  2 Si 2.54
Ni (0.5000, 0.5000, 0.5000)  4 Pb 3.46, 8 Hf 3.53
Si (0.0000, 0.0000, 0.0000)  4 Hf 2.45, 2 Pb 2.54
Hf (0.0000, 0.0000, 0.5000)  2 Si 2.45
Hf (0.5000, 0.0000, 0.0000)  2 Si 2.45

Calculated values
raw formation energy: 0.8633 eV/atom
theoretical density: 8.88 Mg/m³
space group: P4/mmm, No. 123
volume: 24.3 Å³ per atom

HOs3Au | PBE-GGA | optimized geometry

Cell: 4.9239 4.9239 4.9239 Å, 90.00 90.00 90.00°
With the nearest neighbours (Å) after each atom.
Fractional coordinates of all 5 atoms:
Os (0.0000, 0.5000, 0.0000)  2 Au 2.46
Os (0.0000, 0.0000, 0.5000)  2 Au 2.46
Os (0.5000, 0.0000, 0.0000)  2 Au 2.46
Au (0.0000, 0.0000, 0.0000)  6 Os 2.46
H (0.5000, 0.5000, 0.5000)  12 Os 3.48

Calculated values
relative energy among the computed polymorphs: 2894 meV/atom
theoretical density: 10.69 Mg/m³
space group: Pm-3m, No. 221
volume: 23.9 Å³ per atom

Ac2ZrPt | PBE-GGA | optimized geometry

Cell: 3.9006 3.9006 10.8246 Å, 79.62 79.62 60.00°
With the nearest neighbours (Å) after each atom.
Fractional coordinates of all 4 atoms:
Ac (0.1043, 0.1043, 0.6872)  3 Pt 3.00, 1 Zr 3.31
Ac (0.8957, 0.8957, 0.3128)  3 Pt 3.00, 1 Zr 3.31
Zr (0.0000, 0.0000, 0.0000)  2 Ac 3.31
Pt (0.5000, 0.5000, 0.5000)  6 Ac 3.00

Calculated values
formation energy from the elements: 0.09 eV/atom
theoretical density: 8.81 Mg/m³
space group: R-3m, No. 166
volume: 34.9 Å³ per atom